VASP calculation (PBE) on a relaxed structure of Sb2PtBr.

POSCAR file:
```
Sb2PtBr
1.0
3.666 -2.125 0.000
3.666 2.125 0.000
-2.562 0.000 7.942
Sb Pt Br
2 1 1
Direct
0.115 0.115 0.353
0.885 0.885 0.647
0.500 0.500 0.500
0.000 0.000 0.000
```

## Properties
Its energy above the lowest structure with this stoichiometry is 0 meV/atom. The space group is No. 12. The density is 7.0 g cm⁻³. The calculated total energy comes out at -4.40 eV per atom.